# La2MgTcW

Crystalline La2MgTcW at its relaxed geometry (PBE-GGA, Alexandria via LeMat-Bulk).

Calculated values
* size of the total moment: 3.780 μB/cell
* DFT formation energy: 0.994 eV per atom
* calculated density: 6.80 Mg/m³

```
data_La2MgTcW
_chemical_formula_sum 'La2 Mg1 Tc1 W1'
_symmetry_space_group_name_H-M 'P 4/m m m'
_symmetry_Int_Tables_number 123
_symmetry_space_group_name_Hall '-P 4 2'
_cell_length_a 5.2730
_cell_length_b 5.2730
_cell_length_c 5.1303
_cell_angle_alpha 90.00
_cell_angle_beta 90.00
_cell_angle_gamma 90.00
loop_
_atom_site_label
_atom_site_type_symbol
_atom_site_fract_x
_atom_site_fract_y
_atom_site_fract_z
La1 La 0.0000 0.5000 0.0000
Mg1 Mg 0.0000 0.0000 0.5000
Tc1 Tc 0.0000 0.0000 0.0000
W1 W 0.5000 0.5000 0.5000
```